No. 1
A plane-wave DFT calculation with PBE was carried out for a geometry-optimized In2MoPb structure.

Results
The energy of formation is 0.5135 eV/atom.

abc: 5.8193 5.8193 5.8193
angles: 143.53 128.77 64.52
Fractional coordinates of all 4 atoms:
1 In 0.9945 0.9945 0.0000
2 In 0.7304 0.2304 0.5000
3 Mo 0.5053 0.5053 0.0000
4 Pb 0.2698 0.7698 0.5000

=====

No. 2
A plane-wave DFT calculation with PBE was carried out for a geometry-optimized In2MoPb structure.

Results
The energy of formation is 0.5429 eV/atom.

abc: 5.5886 5.5886 5.5886
angles: 133.61 133.61 67.70
Fractional coordinates of all 4 atoms:
1 In 0.0000 0.0000 0.0000
2 In 0.2500 0.7500 0.5000
3 Mo 0.5000 0.5000 0.0000
4 Pb 0.7500 0.2500 0.5000